10
Lattice="-4.920 3.874 2.867 4.920 -3.874 2.867 4.920 3.874 -2.867" Properties=species:S:1:pos:R:3 comment="InAg3Au PBE optimized geometry" rho_g_cm3=9.655 ef_ev_per_atom=0.11 e_tot_ev_per_atom=-2.800 crystal_system=orthorhombic pbc="T T T"
In 2.460 0.475 0.000
In 2.460 3.398 2.867
Ag 2.460 3.356 -0.005
Ag 0.298 1.959 1.433
Ag 4.622 1.959 1.433
Ag 2.460 0.518 2.862
Ag -0.298 5.789 1.433
Ag 0.298 1.915 4.299
Au 2.460 -1.937 4.296
Au 2.460 5.811 1.429

---

6
Lattice="2.453 -4.659 0.000 2.453 4.659 0.000 0.000 0.000 4.915" Properties=species:S:1:pos:R:3 comment="InAgAu4 PBE optimized geometry" rho_g_cm3=14.932 ef_ev_per_atom=-0.08 e_tot_ev_per_atom=-3.197 crystal_system=orthorhombic pbc="T T T"
In 0.000 0.000 0.000
Ag 2.453 0.000 2.458
Au 2.453 3.119 2.458
Au 2.453 1.543 0.000
Au 2.453 -1.543 0.000
Au 2.453 -3.119 2.458

---

19
Lattice="5.666 3.272 3.247 -5.666 3.272 3.247 0.000 -6.543 3.247" Properties=species:S:1:pos:R:3 comment="InAg6Au12 PBE optimized geometry" rho_g_cm3=14.369 ef_ev_per_atom=0.01 e_tot_ev_per_atom=-3.102 crystal_system=trigonal pbc="T T T"
In 0.000 0.000 0.000
Ag -1.450 0.816 2.478
Ag 0.019 -1.664 2.478
Ag 1.431 0.848 2.478
Ag -1.431 -0.848 7.264
Ag -0.019 1.664 7.264
Ag 1.450 -0.816 7.264
Au -1.460 -3.991 3.257
Au -2.265 -1.345 4.445
Au -4.186 -0.732 6.486
Au -2.727 3.260 3.257
Au -2.297 1.290 5.297
Au 0.032 -2.634 5.297
Au -0.032 2.634 4.445
Au 2.297 -1.290 4.445
Au 2.727 -3.260 6.486
Au 4.186 0.732 3.257
Au 2.265 1.345 5.297
Au 1.460 3.991 6.486